(1)
An optimized crystal structure of Np2TeAs. Source: the Alexandria database, functional PBE.

abc: 5.141 5.141 5.141
angles: 60.00 60.00 60.00
Positions (direct):
Np1 0.250 0.250 0.250
Np2 0.750 0.750 0.750
Te1 0.000 0.000 0.000
As1 0.500 0.500 0.500

Output
* raw formation energy: -0.49 eV per atom
* V: 24.0 Å³ per atom
* space group: Fm-3m (225)
* ΔE to the lowest computed polymorph: 151.8 meV/atom

***

(2)
An optimized crystal structure of LaDy2Th6. Source: the Alexandria database, functional PBE.

abc: 3.544 3.544 27.148
angles: 90.00 90.00 120.00
Positions (direct):
La1 0.000 0.000 0.000
Dy1 0.667 0.333 0.331
Dy2 0.667 0.333 0.669
Th1 0.000 0.000 0.222
Th2 0.000 0.000 0.439
Th3 0.000 0.000 0.561
Th4 0.000 0.000 0.778
Th5 0.667 0.333 0.114
Th6 0.667 0.333 0.886

Output
* E_tot: -6.430 eV per atom
* V: 32.8 Å³ per atom
* space group: P-6m2 (187)

***

(3)
An optimized crystal structure of La8Ce2Tm. Source: the Alexandria database, functional PBE.

abc: 9.612 9.612 9.612
angles: 145.76 128.39 63.41
Positions (direct):
La1 0.155 0.155 0.000
La2 0.156 0.359 0.797
La3 0.297 0.000 0.297
La4 0.438 0.641 0.797
La5 0.562 0.359 0.203
La6 0.703 0.000 0.703
La7 0.844 0.641 0.203
La8 0.845 0.845 0.000
Ce1 0.300 0.800 0.500
Ce2 0.700 0.200 0.500
Tm1 0.000 0.500 0.500

Output
* E_tot: -4.925 eV per atom
* V: 35.2 Å³ per atom
* space group: Immm (71)

***

(4)
An optimized crystal structure of ErSc2B2Rh5. Source: the Alexandria database, functional PBE.

abc: 9.613 9.613 3.171
angles: 90.00 90.00 90.00
Positions (direct):
Er1 0.000 0.000 0.000
Er2 0.500 0.500 0.000
Sc1 0.174 0.326 0.000
Sc2 0.326 0.826 0.000
Sc3 0.674 0.174 0.000
Sc4 0.826 0.674 0.000
B1 0.122 0.622 0.000
B2 0.378 0.122 0.000
B3 0.622 0.878 0.000
B4 0.878 0.378 0.000
Rh1 0.000 0.500 0.500
Rh2 0.072 0.772 0.500
Rh3 0.228 0.072 0.500
Rh4 0.272 0.572 0.500
Rh5 0.428 0.272 0.500
Rh6 0.500 0.000 0.500
Rh7 0.572 0.728 0.500
Rh8 0.728 0.428 0.500
Rh9 0.772 0.928 0.500
Rh10 0.928 0.228 0.500

Output
* E_tot: -7.555 eV per atom
* V: 14.7 Å³ per atom
* space group: P4/mbm (127)

***

(5)
An optimized crystal structure of CsPrTeBr2. Source: the Alexandria database, functional PBE.

abc: 10.307 10.307 9.115
angles: 90.00 90.00 154.08
Positions (direct):
Cs1 0.209 0.791 0.750
Cs2 0.791 0.209 0.250
Pr1 0.500 0.500 0.000
Pr2 0.500 0.500 0.500
Te1 0.006 0.994 0.750
Te2 0.994 0.006 0.250
Br1 0.356 0.644 0.515
Br2 0.356 0.644 0.985
Br3 0.644 0.356 0.015
Br4 0.644 0.356 0.485

Output
* raw formation energy: -1.67 eV per atom
* V: 42.3 Å³ per atom
* space group: Cmcm (63)

***

(6)
An optimized crystal structure of Sc2CdPd. Source: the Alexandria database, functional PBE.

abc: 6.192 6.192 6.192
angles: 102.80 102.80 123.84
Positions (direct):
Sc1 0.084 0.625 0.959
Sc2 0.375 0.334 0.459
Sc3 0.666 0.125 0.041
Sc4 0.875 0.916 0.541
Cd1 0.250 0.750 0.500
Cd2 0.500 0.500 0.000
Pd1 0.000 0.000 0.000
Pd2 0.750 0.250 0.500

Output
* E_tot: -4.897 eV per atom
* V: 21.7 Å³ per atom
* space group: I-42d (122)

***

(7)
An optimized crystal structure of MgSi2P. Source: the Alexandria database, functional PBE.

abc: 5.707 5.707 5.707
angles: 102.77 102.77 123.91
Positions (direct):
Mg1 0.000 0.000 0.000
Mg2 0.750 0.250 0.500
Si1 0.160 0.625 0.035
Si2 0.375 0.410 0.535
Si3 0.590 0.125 0.965
Si4 0.875 0.840 0.465
P1 0.250 0.750 0.500
P2 0.500 0.500 0.000

Output
* raw formation energy: 0.17 eV per atom
* V: 17.0 Å³ per atom
* space group: I-42d (122)
* ΔE to the lowest computed polymorph: 119.3 meV/atom

***

(8)
An optimized crystal structure of AgGeSe. Source: the Alexandria database, functional PBE.

abc: 3.700 3.700 5.288
angles: 90.00 90.00 120.00
Positions (direct):
Ag1 0.000 0.000 0.000
Ge1 0.667 0.333 0.669
Se1 0.333 0.667 0.363

Output
* raw formation energy: 0.02 eV per atom
* V: 20.9 Å³ per atom
* space group: P3m1 (156)
* ΔE to the lowest computed polymorph: 2.5 meV/atom

***

(9)
An optimized crystal structure of Na3HoF6. Source: the Alexandria database, functional PBE.

abc: 5.823 5.958 10.171
angles: 90.00 123.42 90.00
Positions (direct):
Na1 0.000 0.000 0.000
Na2 0.000 0.500 0.500
Na3 0.218 0.050 0.730
Na4 0.218 0.450 0.230
Na5 0.782 0.550 0.770
Na6 0.782 0.950 0.270
Ho1 0.500 0.000 0.500
Ho2 0.500 0.500 0.000
F1 0.136 0.178 0.449
F2 0.136 0.322 0.949
F3 0.233 0.705 0.408
F4 0.233 0.795 0.908
F5 0.402 0.088 0.266
F6 0.402 0.412 0.766
F7 0.598 0.588 0.234
F8 0.598 0.912 0.734
F9 0.767 0.205 0.092
F10 0.767 0.295 0.592
F11 0.864 0.678 0.051
F12 0.864 0.822 0.551

Output
* raw formation energy: -3.30 eV per atom
* V: 14.7 Å³ per atom
* space group: P2_1/c (14)
* ΔE to the lowest computed polymorph: 0.0 meV/atom

***

(10)
An optimized crystal structure of CsBi2Ru. Source: the Alexandria database, functional PBE.

abc: 7.679 7.679 7.679
angles: 114.95 114.95 99.00
Positions (direct):
Cs1 0.000 0.000 0.000
Cs2 0.750 0.250 0.500
Bi1 0.256 0.625 0.131
Bi2 0.375 0.506 0.631
Bi3 0.494 0.125 0.869
Bi4 0.875 0.744 0.369
Ru1 0.250 0.750 0.500
Ru2 0.500 0.500 0.000

Output
* V: 42.5 Å³ per atom
* space group: I-42d (122)
* ΔE to the lowest computed polymorph: 0.0 meV/atom

***

(11)
An optimized crystal structure of CsB2Os. Source: the Alexandria database, functional PBE.

abc: 6.471 6.471 6.471
angles: 60.00 60.00 60.00
Positions (direct):
Cs1 0.125 0.125 0.125
Cs2 0.875 0.875 0.875
B1 0.000 0.500 0.500
B2 0.500 0.000 0.500
B3 0.500 0.500 0.000
B4 0.500 0.500 0.500
Os1 0.375 0.375 0.375
Os2 0.625 0.625 0.625

Output
* E_tot: -6.019 eV per atom
* V: 24.0 Å³ per atom
* space group: Fd-3m (227)

***

(12)
An optimized crystal structure of Rb3Na8Li. Source: the Alexandria database, functional PBE.

abc: 12.862 12.862 12.862
angles: 33.05 33.05 33.05
Positions (direct):
Rb1 0.000 0.000 0.000
Rb2 0.128 0.128 0.128
Rb3 0.509 0.509 0.509
Na1 0.057 0.565 0.565
Na2 0.069 0.069 0.570
Na3 0.069 0.570 0.069
Na4 0.315 0.315 0.315
Na5 0.565 0.057 0.565
Na6 0.565 0.565 0.057
Na7 0.570 0.069 0.069
Na8 0.815 0.815 0.815
Li1 0.631 0.631 0.631

Output
* E_tot: -1.230 eV per atom
* V: 46.9 Å³ per atom
* space group: R3m (160)

***

(13)
An optimized crystal structure of TaPS2N. Source: the Alexandria database, functional PBE.

abc: 4.760 4.760 4.937
angles: 90.00 90.00 90.00
Positions (direct):
Ta1 0.000 0.000 0.000
P1 0.000 0.000 0.500
S1 0.000 0.500 0.000
S2 0.500 0.000 0.000
N1 0.500 0.500 0.500

Output
* raw formation energy: 0.97 eV per atom
* V: 22.4 Å³ per atom
* space group: P4/mmm (123)
* ΔE to the lowest computed polymorph: 583.0 meV/atom

***

(14)
An optimized crystal structure of Pr3SnS2. Source: the Alexandria database, functional PBE.

abc: 7.386 7.386 7.386
angles: 146.34 131.53 60.30
Positions (direct):
Pr1 0.000 0.000 0.000
Pr2 0.321 0.321 0.000
Pr3 0.679 0.679 0.000
Sn1 0.500 0.000 0.500
S1 0.163 0.663 0.500
S2 0.837 0.337 0.500

Output
* raw formation energy: -1.56 eV per atom
* V: 27.6 Å³ per atom
* space group: Immm (71)

***

(15)
An optimized crystal structure of LiCuAsRh. Source: the Alexandria database, functional PBE.

abc: 4.256 4.256 4.256
angles: 60.00 60.00 60.00
Positions (direct):
Li1 0.000 0.000 0.000
Cu1 0.750 0.750 0.750
As1 0.250 0.250 0.250
Rh1 0.500 0.500 0.500

Output
* E_tot: -4.805 eV per atom
* V: 13.6 Å³ per atom
* space group: F-43m (216)

***

(16)
An optimized crystal structure of YTl2Hg. Source: the Alexandria database, functional PBE.

abc: 4.734 4.734 4.660
angles: 90.00 90.00 90.00
Positions (direct):
Y1 0.000 0.000 0.000
Tl1 0.000 0.500 0.500
Tl2 0.500 0.000 0.500
Hg1 0.500 0.500 0.000

Output
* E_tot: -3.143 eV per atom
* V: 26.1 Å³ per atom
* space group: P4/mmm (123)

***

(17)
An optimized crystal structure of PaSbPd2. Source: the Alexandria database, functional PBE.

abc: 3.748 3.748 6.079
angles: 90.00 90.00 90.00
Positions (direct):
Pa1 0.000 0.000 0.000
Sb1 0.000 0.000 0.500
Pd1 0.500 0.500 0.238
Pd2 0.500 0.500 0.762

Output
* raw formation energy: -0.44 eV per atom
* V: 21.4 Å³ per atom
* space group: P4/mmm (123)
* ΔE to the lowest computed polymorph: 179.5 meV/atom

***

(18)
An optimized crystal structure of SrPdPbAu. Source: the Alexandria database, functional PBE.

abc: 5.157 5.157 5.157
angles: 60.00 60.00 60.00
Positions (direct):
Sr1 0.000 0.000 0.000
Pd1 0.750 0.750 0.750
Pb1 0.500 0.500 0.500
Au1 0.250 0.250 0.250

Output
* V: 24.2 Å³ per atom
* space group: F-43m (216)
* ΔE to the lowest computed polymorph: 34.0 meV/atom

***

(19)
An optimized crystal structure of Ce3Y2PuS6. Source: the Alexandria database, functional PBE.

abc: 6.868 6.868 6.917
angles: 99.53 99.53 120.02
Positions (direct):
Ce1 0.000 0.000 0.000
Ce2 0.333 0.667 0.000
Ce3 0.667 0.333 0.000
Y1 0.167 0.833 0.500
Y2 0.833 0.167 0.500
Pu1 0.500 0.500 0.500
S1 0.085 0.420 0.259
S2 0.246 0.246 0.740
S3 0.420 0.085 0.259
S4 0.580 0.915 0.741
S5 0.754 0.754 0.260
S6 0.915 0.580 0.741

Output
* raw formation energy: -2.00 eV per atom
* V: 22.2 Å³ per atom
* space group: C2/m (12)

***

(20)
An optimized crystal structure of KBPt3. Source: the Alexandria database, functional PBE.

abc: 3.988 3.988 7.750
angles: 90.00 90.00 90.00
Positions (direct):
K1 0.000 0.000 0.000
B1 0.500 0.500 0.281
Pt1 0.000 0.000 0.598
Pt2 0.000 0.500 0.360
Pt3 0.500 0.000 0.360

Output
* E_tot: -4.954 eV per atom
* V: 24.7 Å³ per atom
* space group: P4mm (99)

***

Magnetization values, unit μB per atom, following the record order: 2.23 0.00 0.16 0.00 0.00 0.00 0.00 0.00 0.02 0.00 0.00 0.00 0.43 0.00 0.00 0.00 0.00 0.00 0.65 0.00.